AsW2Cl (PBE, relaxed); V = 16.7 A^3/atom; D(E_F) = 3.7 states/eV/cell; energy above the most stable polymorph in this dataset = 2.92 eV/f.u.
1.0
-1.4700 2.0924 5.4256
1.4700 -2.0924 5.4256
1.4700 2.0924 -5.4256
As W Cl
1 2 1
Direct
0.0000 0.0000 0.0000
0.5717 0.5717 0.0000
0.7997 0.2997 0.5000
0.2674 0.7674 0.5000